Entry 1:
Here is crystalline InGa6Ag12 at its relaxed geometry from Alexandria. Energies are from PBE.

## Properties
Mass density ... 8.45 g/cm³
Energy of formation ... 2.3 kcal/mol of atoms
Magnetization ... 0.000 μB per atom
SG ... Im-3 (204)

Unit cell a=7.755 b=7.755 c=7.755 alpha=109.47 beta=109.47 gamma=109.47
Fractional coordinates of all 19 atoms:
In  0.000  0.000  0.000
Ga  0.141  0.641  0.500
Ga  0.359  0.500  0.859
Ga  0.500  0.141  0.641
Ga  0.500  0.859  0.359
Ga  0.641  0.500  0.141
Ga  0.859  0.359  0.500
Ag  0.041  0.789  0.251
Ag  0.211  0.251  0.462
Ag  0.211  0.749  0.959
Ag  0.251  0.041  0.789
Ag  0.251  0.462  0.211
Ag  0.462  0.211  0.251
Ag  0.538  0.789  0.749
Ag  0.749  0.538  0.789
Ag  0.749  0.959  0.211
Ag  0.789  0.251  0.041
Ag  0.789  0.749  0.538
Ag  0.959  0.211  0.749

***

Entry 2:
Here is crystalline In6Ga3Ag at its relaxed geometry from Alexandria. Energies are from PBE.

## Properties
Mass density ... 6.91 g/cm³
Energy of formation ... 0.8 kcal/mol of atoms
Magnetization ... 0.000 μB per atom
SG ... P2_1/c (14)

Unit cell a=8.030 b=6.410 c=12.214 alpha=90.00 beta=129.73 gamma=90.00
Fractional coordinates of all 20 atoms:
In  0.084  0.096  0.425
In  0.084  0.404  0.925
In  0.268  0.603  0.423
In  0.268  0.897  0.923
In  0.416  0.691  0.748
In  0.416  0.809  0.248
In  0.584  0.191  0.752
In  0.584  0.309  0.252
In  0.732  0.103  0.077
In  0.732  0.397  0.577
In  0.916  0.596  0.075
In  0.916  0.904  0.575
Ga  0.000  0.000  0.000
Ga  0.000  0.500  0.500
Ga  0.223  0.238  0.250
Ga  0.223  0.262  0.750
Ga  0.777  0.738  0.250
Ga  0.777  0.762  0.750
Ag  0.500  0.000  0.500
Ag  0.500  0.500  0.000

***

Entry 3:
Here is crystalline InGa8Ag6 at its relaxed geometry from Alexandria. Energies are from PBE.

## Properties
Mass density ... 7.70 g/cm³
Energy of formation ... 0.2 kcal/mol of atoms
Magnetization ... 0.000 μB per atom
SG ... R-3 (148)

Unit cell a=7.008 b=7.008 c=7.008 alpha=67.98 beta=67.98 gamma=67.98
Fractional coordinates of all 15 atoms:
In  0.000  0.000  0.000
Ga  0.151  0.465  0.806
Ga  0.194  0.849  0.535
Ga  0.221  0.221  0.221
Ga  0.465  0.806  0.151
Ga  0.535  0.194  0.849
Ga  0.779  0.779  0.779
Ga  0.806  0.151  0.465
Ga  0.849  0.535  0.194
Ag  0.158  0.596  0.320
Ag  0.320  0.158  0.596
Ag  0.404  0.680  0.842
Ag  0.596  0.320  0.158
Ag  0.680  0.842  0.404
Ag  0.842  0.404  0.680